# Rb2Cd3Bi2

An optimized crystal structure of Rb2Cd3Bi2 (PBE-GGA, the Alexandria database).

Crystal system   monoclinic
Energy relative to the elements   -0.173 eV per atom
Raw total energy   -1.950 eV per atom

Unit cell a=5.1784 b=7.0828 c=7.9138 alpha=114.43 beta=90.00 gamma=111.44
Closest atoms and distances in Å follow each position.
Atoms (fractional coordinates):
Rb  0.8458  0.6916  0.2124  4 Cd 3.62-3.87, 5 Bi 3.82-3.97
Rb  0.1542  0.3084  0.7876  4 Cd 3.62-3.87, 5 Bi 3.82-3.97
Cd  0.5000  0.0000  0.0000  2 Cd 3.11, 4 Bi 3.43
Cd  0.5876  0.1753  0.4352  2 Cd 2.92-3.11, 3 Bi 3.12-3.15
Cd  0.4124  0.8247  0.5648  2 Cd 2.92-3.11, 3 Bi 3.12-3.15
Bi  0.8481  0.6962  0.7158  5 Cd 3.12-3.43
Bi  0.1519  0.3038  0.2842  5 Cd 3.12-3.43


# Rb2Cd6Bi3

An optimized crystal structure of Rb2Cd6Bi3 (PBE-GGA, the Alexandria database).

Crystal system   hexagonal
Energy relative to the elements   -0.127 eV per atom
Raw total energy   -1.860 eV per atom

Unit cell a=4.9584 b=9.2164 c=9.2164 alpha=120.00 beta=90.00 gamma=90.00
Closest atoms and distances in Å follow each position.
Atoms (fractional coordinates):
Rb  0.0000  0.6667  0.3333  6 Bi 3.83, 9 Cd 3.96-4.14
Rb  0.0000  0.3333  0.6667  6 Bi 3.83, 9 Cd 3.96-4.14
Cd  0.5000  0.2848  0.0000  3 Bi 3.09-3.19, 4 Cd 3.38
Cd  0.5000  0.7152  0.7152  3 Bi 3.09-3.19, 4 Cd 3.38
Cd  0.0000  0.8182  0.0000  2 Cd 2.90, 2 Bi 3.02
Cd  0.0000  0.0000  0.8182  2 Cd 2.90, 2 Bi 3.02
Cd  0.5000  0.0000  0.2848  3 Bi 3.09-3.19, 4 Cd 3.38
Cd  0.0000  0.1818  0.1818  2 Cd 2.90, 2 Bi 3.02
Bi  0.5000  0.6306  0.0000  5 Cd 3.02-3.19
Bi  0.5000  0.0000  0.6306  5 Cd 3.02-3.19
Bi  0.5000  0.3694  0.3694  5 Cd 3.02-3.19


# Rb3Cd4Bi2

An optimized crystal structure of Rb3Cd4Bi2 (PBE-GGA, the Alexandria database).

Crystal system   monoclinic
Energy relative to the elements   -0.228 eV per atom
Raw total energy   -1.820 eV per atom

Unit cell a=5.1046 b=7.3213 c=10.5229 alpha=99.27 beta=90.00 gamma=110.40
Closest atoms and distances in Å follow each position.
Atoms (fractional coordinates):
Rb  0.6709  0.3418  0.6581  8 Cd 3.93-4.11, 4 Bi 3.97-4.01
Rb  0.0000  0.0000  0.0000  4 Bi 3.92, 8 Cd 3.93-4.03
Rb  0.3291  0.6582  0.3419  8 Cd 3.93-4.11, 4 Bi 3.97-4.01
Cd  0.7206  0.4412  0.0545  2 Cd 2.97, 1 Bi 2.99
Cd  0.2794  0.5588  0.9455  2 Cd 2.97, 1 Bi 2.99
Cd  0.9495  0.8989  0.6109  1 Cd 2.91, 2 Bi 2.99
Cd  0.0505  0.1011  0.3891  1 Cd 2.91, 2 Bi 2.99
Bi  0.6051  0.2103  0.2716  3 Cd 2.99
Bi  0.3949  0.7897  0.7284  3 Cd 2.99


# RbCd3Bi

An optimized crystal structure of RbCd3Bi (PBE-GGA, the Alexandria database).

Crystal system   cubic
Energy relative to the elements   0.778 eV per atom
Raw total energy   -0.741 eV per atom

Unit cell a=6.5793 b=6.5793 c=6.5793 alpha=90.00 beta=90.00 gamma=90.00
Closest atoms and distances in Å follow each position.
Atoms (fractional coordinates):
Bi  0.5000  0.5000  0.5000  12 Cd 4.65
Rb  0.0000  0.0000  0.0000  6 Cd 3.29
Cd  0.0000  0.5000  0.0000  2 Rb 3.29
Cd  0.0000  0.0000  0.5000  2 Rb 3.29
Cd  0.5000  0.0000  0.0000  2 Rb 3.29


# Rb2Cd2Bi

An optimized crystal structure of Rb2Cd2Bi (PBE-GGA, the Alexandria database).

Crystal system   tetragonal
Energy relative to the elements   -0.144 eV per atom
Raw total energy   -1.673 eV per atom

Unit cell a=8.1790 b=8.1790 c=5.8764 alpha=90.00 beta=90.00 gamma=90.00
Closest atoms and distances in Å follow each position.
Atoms (fractional coordinates):
Bi  0.0000  0.0000  0.0000  4 Cd 3.22
Bi  0.5000  0.5000  0.0000  4 Cd 3.22
Rb  0.1848  0.6848  0.5000  6 Cd 3.66-3.92
Rb  0.6848  0.8152  0.5000  6 Cd 3.66-3.92
Rb  0.8152  0.3152  0.5000  6 Cd 3.66-3.92
Rb  0.3152  0.1848  0.5000  6 Cd 3.66-3.92
Cd  0.3730  0.8730  0.0000  1 Cd 2.94, 2 Bi 3.22
Cd  0.8730  0.6270  0.0000  1 Cd 2.94, 2 Bi 3.22
Cd  0.6270  0.1270  0.0000  1 Cd 2.94, 2 Bi 3.22
Cd  0.1270  0.3730  0.0000  1 Cd 2.94, 2 Bi 3.22


# RbCdRe2Bi

An optimized crystal structure of RbCdRe2Bi (PBE-GGA, the Alexandria database).

Crystal system   tetragonal
Energy relative to the elements   2.060 eV per atom
Raw total energy   -4.072 eV per atom

Unit cell a=5.2441 b=5.9862 c=5.2441 alpha=90.00 beta=90.00 gamma=90.00
Closest atoms and distances in Å follow each position.
Atoms (fractional coordinates):
Re  0.0000  0.0000  0.5000  2 Bi 2.62
Re  0.5000  0.0000  0.0000  2 Bi 2.62
Bi  0.0000  0.0000  0.0000  4 Re 2.62
Rb  0.5000  0.5000  0.5000  4 Cd 3.71, 8 Re 3.98
Cd  0.0000  0.5000  0.0000  2 Bi 2.99


# RbCd2BiRh

An optimized crystal structure of RbCd2BiRh (PBE-GGA, the Alexandria database).

Crystal system   tetragonal
Energy relative to the elements   -0.104 eV per atom
Raw total energy   -2.910 eV per atom

Unit cell a=5.3753 b=5.3753 c=5.2670 alpha=90.00 beta=90.00 gamma=90.00
Closest atoms and distances in Å follow each position.
Atoms (fractional coordinates):
Rh  0.0000  0.0000  0.0000  2 Bi 2.63, 4 Cd 2.69
Bi  0.0000  0.0000  0.5000  2 Rh 2.63
Rb  0.5000  0.5000  0.5000  8 Cd 3.76, 4 Bi 3.80
Cd  0.0000  0.5000  0.0000  2 Rh 2.69
Cd  0.5000  0.0000  0.0000  2 Rh 2.69


# RbCdBi2Ru

An optimized crystal structure of RbCdBi2Ru (PBE-GGA, the Alexandria database).

Crystal system   tetragonal
Energy relative to the elements   1.230 eV per atom
Raw total energy   -2.554 eV per atom

Unit cell a=5.6934 b=6.0817 c=5.6934 alpha=90.00 beta=90.00 gamma=90.00
Closest atoms and distances in Å follow each position.
Atoms (fractional coordinates):
Ru  0.5000  0.5000  0.5000  4 Rb 4.03, 8 Bi 4.17
Bi  0.0000  0.0000  0.5000  2 Cd 2.85
Bi  0.5000  0.0000  0.0000  2 Cd 2.85
Rb  0.0000  0.5000  0.0000  2 Cd 3.04
Cd  0.0000  0.0000  0.0000  4 Bi 2.85, 2 Rb 3.04